(1)
Material: Ac2Dy3Y6Ho
Method: DFT, PBE
State: relaxed

Cell: 6.311 6.311 11.942 Å, 95.05 95.05 119.99°
Fractional coordinates of all 12 atoms:
Ac1 0.333 0.667 0.000
Ac2 0.667 0.333 0.000
Dy1 0.167 0.833 0.500
Dy2 0.833 0.167 0.500
Dy3 0.500 0.500 0.500
Y1 0.915 0.584 0.743
Y2 0.755 0.755 0.257
Y3 0.085 0.416 0.257
Y4 0.584 0.915 0.743
Y5 0.245 0.245 0.743
Y6 0.416 0.085 0.257
Ho1 0.000 0.000 0.000

Calculated values
space group = C2/m (12)
crystal system = monoclinic

(2)
Material: UAuN
Method: DFT, PBE
State: relaxed

Cell: 3.858 3.858 7.181 Å, 89.99 90.00 90.00°
Fractional coordinates of all 6 atoms:
U1 0.250 0.750 0.341
U2 0.750 0.250 0.659
Au1 0.250 0.750 0.906
Au2 0.750 0.250 0.094
N1 0.750 0.750 0.500
N2 0.250 0.250 0.500

Calculated values
space group = P4/nmm (129)
ΔE_f (raw) = -0.95 eV/atom
crystal system = tetragonal

In eV per atom, the uncorrected energy values for the records above are, in order, -5.41 -8.58.